A relaxed structure of RbMn4P3O12. Source: Alexandria via LeMat-Bulk, functional PBE with a Hubbard U.

Cell lengths 10.0447, 16.9682, 6.5327 Å; angles 90.00, 90.00, 90.00 degrees
Atoms (fractional coordinates):
Rb 0.2076 0.0326 0.0000
Rb 0.2924 0.5326 0.5000
Rb 0.7076 0.4674 0.5000
Rb 0.7924 0.9674 0.0000
Mn 0.0196 0.1392 0.5000
Mn 0.0397 0.5957 0.0000
Mn 0.2491 0.7957 0.2484
Mn 0.2491 0.7957 0.7516
Mn 0.2509 0.2957 0.2516
Mn 0.2509 0.2957 0.7484
Mn 0.4603 0.0957 0.5000
Mn 0.4804 0.6392 0.0000
Mn 0.5196 0.3608 0.0000
Mn 0.5397 0.9043 0.5000
Mn 0.7491 0.7043 0.2516
Mn 0.7491 0.7043 0.7484
Mn 0.7509 0.2043 0.2484
Mn 0.7509 0.2043 0.7516
Mn 0.9603 0.4043 0.0000
Mn 0.9804 0.8608 0.5000
P 0.0404 0.6688 0.5000
P 0.0412 0.2171 0.0000
P 0.2141 0.9630 0.5000
P 0.2859 0.4630 0.0000
P 0.4588 0.7171 0.5000
P 0.4596 0.1688 0.0000
P 0.5404 0.8312 0.0000
P 0.5412 0.2829 0.5000
P 0.7141 0.5370 0.0000
P 0.7859 0.0370 0.5000
P 0.9588 0.7829 0.0000
P 0.9596 0.3312 0.5000
O 0.0821 0.6245 0.3062
O 0.0821 0.6245 0.6938
O 0.0926 0.1774 0.1970
O 0.0926 0.1774 0.8030
O 0.1046 0.3031 0.0000
O 0.1131 0.7531 0.5000
O 0.1137 0.3145 0.5000
O 0.1136 0.7741 0.0000
O 0.1329 0.4785 0.0000
O 0.1455 0.0434 0.5000
O 0.1709 0.9122 0.3108
O 0.1709 0.9122 0.6892
O 0.3291 0.4122 0.1892
O 0.3291 0.4122 0.8108
O 0.3545 0.5434 0.0000
O 0.3671 0.9785 0.5000
O 0.3864 0.2741 0.5000
O 0.3863 0.8145 0.0000
O 0.3869 0.2531 0.0000
O 0.3954 0.8031 0.5000
O 0.4074 0.6774 0.3030
O 0.4074 0.6774 0.6970
O 0.4179 0.1245 0.1938
O 0.4179 0.1245 0.8062
O 0.5821 0.8755 0.1938
O 0.5821 0.8755 0.8062
O 0.5926 0.3226 0.3030
O 0.5926 0.3226 0.6970
O 0.6046 0.1969 0.5000
O 0.6131 0.7469 0.0000
O 0.6137 0.1855 0.0000
O 0.6136 0.7259 0.5000
O 0.6329 0.0215 0.5000
O 0.6455 0.4566 0.0000
O 0.6709 0.5878 0.1892
O 0.6709 0.5878 0.8108
O 0.8291 0.0878 0.3108
O 0.8291 0.0878 0.6892
O 0.8545 0.9566 0.5000
O 0.8671 0.5215 0.0000
O 0.8864 0.2259 0.0000
O 0.8863 0.6855 0.5000
O 0.8869 0.2469 0.5000
O 0.8954 0.6969 0.0000
O 0.9074 0.8226 0.1970
O 0.9074 0.8226 0.8030
O 0.9179 0.3755 0.3062
O 0.9179 0.3755 0.6938

## Properties
crystal system = orthorhombic
magnetic moment = 1.00 μB per atom
volume = 13.92 Å³ per atom
total DFT energy (no corrections) = -7.48 eV per atom